Entry from Alexandria: an optimized crystal structure of Th8TcTe4Ir3 (GGA-PBE).

Cell: 8.4026 8.4026 23.0870 Å, 90.00 90.00 120.00°
Space group R-3m (No. 166, hexagonal axes)
Symmetry-distinct sites (fractional):
Th 0.0000 0.0000 0.2335 x6
Th 0.0045 0.5022 0.2337 x18
Tc 0.0000 0.0000 0.5000 x3
Te 0.0000 0.0000 0.0000 x3
Te 0.0000 0.5000 0.0000 x9
Ir 0.0000 0.5000 0.5000 x9

Output
* DFT total energy: -7.831 eV/atom
* formation energy without anion corrections: -99 kJ/mol of atoms

=====

Entry from Alexandria: an optimized crystal structure of Th3BiB (GGA-PBE).

Cell: 5.2017 5.2017 5.2017 Å, 90.00 90.00 90.00°
Space group Pm-3m (No. 221)
Symmetry-distinct sites (fractional):
Th 0.0000 0.0000 0.5000 x3
Bi 0.5000 0.5000 0.5000 x1
B 0.0000 0.0000 0.0000 x1

Output
* DFT total energy: -6.764 eV/atom

=====

no.,calculated density (g/cm³),V (Å³/cell),spin magnetization (Bohr magnetons per cell)
1,10.73,1412,0.0
2,10.81,141,0.0